Entry from the Alexandria database: Rb3AgSe after structural relaxation (PBE).

```
data_Rb3AgSe
_chemical_formula_sum 'Rb3 Ag1 Se1'
_cell_length_a 6.5788
_cell_length_b 6.5788
_cell_length_c 6.5788
_cell_angle_alpha 90.00
_cell_angle_beta 90.00
_cell_angle_gamma 90.00
_space_group_name_H-M_alt 'P 1'
_space_group_IT_number 1
loop_
_space_group_symop_operation_xyz
'x,y,z'
loop_
_atom_site_label
_atom_site_fract_x
_atom_site_fract_y
_atom_site_fract_z
Se1 0.0000 0.0000 0.0000
Rb1 0.0000 0.5000 0.0000
Rb2 0.0000 0.0000 0.5000
Rb3 0.5000 0.0000 0.0000
Ag1 0.5000 0.5000 0.5000
```

Computed properties:
ΔE to the lowest computed polymorph, meV/atom: 0.0
Symmetry: Pm-3m (221)
Electronic total energy, eV/atom: -2.34
Energy relative to the elements, uncorrected, eV per atom: -0.492


Entry from the Alexandria database: RbAg3Se3 after structural relaxation (PBE).

```
data_RbAg3Se3
_chemical_formula_sum 'Rb2 Ag6 Se6'
_cell_length_a 7.4167
_cell_length_b 7.4167
_cell_length_c 7.4167
_cell_angle_alpha 90.00
_cell_angle_beta 90.00
_cell_angle_gamma 90.00
_space_group_name_H-M_alt 'P 1'
_space_group_IT_number 1
loop_
_space_group_symop_operation_xyz
'x,y,z'
loop_
_atom_site_label
_atom_site_fract_x
_atom_site_fract_y
_atom_site_fract_z
Se1 0.0000 0.2500 0.5000
Se2 0.0000 0.7500 0.5000
Se3 0.5000 0.0000 0.7500
Se4 0.7500 0.5000 0.0000
Se5 0.5000 0.0000 0.2500
Se6 0.2500 0.5000 0.0000
Rb1 0.5000 0.5000 0.5000
Rb2 0.0000 0.0000 0.0000
Ag1 0.2500 0.0000 0.5000
Ag2 0.0000 0.5000 0.2500
Ag3 0.5000 0.7500 0.0000
Ag4 0.7500 0.0000 0.5000
Ag5 0.0000 0.5000 0.7500
Ag6 0.5000 0.2500 0.0000
```

Computed properties:
Symmetry: Pm-3n (223)
Electronic total energy, eV/atom: -3.15
Energy relative to the elements, uncorrected, eV per atom: -0.300


Entry from the Alexandria database: RbAgSe3 after structural relaxation (PBE).

```
data_RbAgSe3
_chemical_formula_sum 'Rb1 Ag1 Se3'
_cell_length_a 6.1831
_cell_length_b 6.1831
_cell_length_c 6.1831
_cell_angle_alpha 90.00
_cell_angle_beta 90.00
_cell_angle_gamma 90.00
_space_group_name_H-M_alt 'P 1'
_space_group_IT_number 1
loop_
_space_group_symop_operation_xyz
'x,y,z'
loop_
_atom_site_label
_atom_site_fract_x
_atom_site_fract_y
_atom_site_fract_z
Se1 0.0000 0.5000 0.0000
Se2 0.0000 0.0000 0.5000
Se3 0.5000 0.0000 0.0000
Rb1 0.0000 0.0000 0.0000
Ag1 0.5000 0.5000 0.5000
```

Computed properties:
Symmetry: Pm-3m (221)
Electronic total energy, eV/atom: -1.78
Energy relative to the elements, uncorrected, eV per atom: 1.071


Entry from the Alexandria database: Rb2Ag2Se after structural relaxation (PBE).

```
data_Rb2Ag2Se
_chemical_formula_sum 'Rb4 Ag4 Se2'
_cell_length_a 7.7035
_cell_length_b 7.7035
_cell_length_c 5.2724
_cell_angle_alpha 90.00
_cell_angle_beta 90.00
_cell_angle_gamma 90.00
_space_group_name_H-M_alt 'P 1'
_space_group_IT_number 1
loop_
_space_group_symop_operation_xyz
'x,y,z'
loop_
_atom_site_label
_atom_site_fract_x
_atom_site_fract_y
_atom_site_fract_z
Se1 0.0000 0.0000 0.0000
Se2 0.5000 0.5000 0.0000
Rb1 0.1918 0.6918 0.5000
Rb2 0.6918 0.8082 0.5000
Rb3 0.8082 0.3082 0.5000
Rb4 0.3082 0.1918 0.5000
Ag1 0.3759 0.8759 0.0000
Ag2 0.8759 0.6241 0.0000
Ag3 0.6241 0.1241 0.0000
Ag4 0.1241 0.3759 0.0000
```

Computed properties:
ΔE to the lowest computed polymorph, meV/atom: 121.6
Symmetry: P4/mbm (127)
Electronic total energy, eV/atom: -2.45
Energy relative to the elements, uncorrected, eV per atom: -0.222


Entry from the Alexandria database: RbAg2Se2 after structural relaxation (PBE).

```
data_RbAg2Se2
_chemical_formula_sum 'Rb1 Ag2 Se2'
_cell_length_a 4.4486
_cell_length_b 4.4486
_cell_length_c 7.4653
_cell_angle_alpha 72.67
_cell_angle_beta 72.67
_cell_angle_gamma 90.00
_space_group_name_H-M_alt 'P 1'
_space_group_IT_number 1
loop_
_space_group_symop_operation_xyz
'x,y,z'
loop_
_atom_site_label
_atom_site_fract_x
_atom_site_fract_y
_atom_site_fract_z
Se1 0.3657 0.3657 0.2686
Se2 0.6343 0.6343 0.7314
Rb1 0.0000 0.0000 0.0000
Ag1 0.7500 0.2500 0.5000
Ag2 0.2500 0.7500 0.5000
```

Computed properties:
ΔE to the lowest computed polymorph, meV/atom: 0.0
Symmetry: I4/mmm (139)
Electronic total energy, eV/atom: -3.17
Energy relative to the elements, uncorrected, eV per atom: -0.441


Entry from the Alexandria database: RbAgSe4 after structural relaxation (PBE).

```
data_RbAgSe4
_chemical_formula_sum 'Rb4 Ag4 Se16'
_cell_length_a 5.8932
_cell_length_b 9.1895
_cell_length_c 13.7760
_cell_angle_alpha 90.00
_cell_angle_beta 90.00
_cell_angle_gamma 90.00
_space_group_name_H-M_alt 'P 1'
_space_group_IT_number 1
loop_
_space_group_symop_operation_xyz
'x,y,z'
loop_
_atom_site_label
_atom_site_fract_x
_atom_site_fract_y
_atom_site_fract_z
Rb1 0.1815 0.4405 0.1606
Rb2 0.6815 0.0595 0.8394
Rb3 0.8185 0.9405 0.3394
Rb4 0.3185 0.5595 0.6606
Ag1 0.9641 0.8687 0.0651
Ag2 0.4641 0.6313 0.9349
Ag3 0.0359 0.3687 0.4349
Ag4 0.5359 0.1313 0.5651
Se1 0.8740 0.3086 0.6106
Se2 0.3740 0.1914 0.3894
Se3 0.1260 0.8086 0.8894
Se4 0.6260 0.6914 0.1106
Se5 0.1366 0.1325 0.6743
Se6 0.6366 0.3675 0.3257
Se7 0.8634 0.6325 0.8257
Se8 0.3634 0.8675 0.1743
Se9 0.8126 0.1343 0.1048
Se10 0.3126 0.3657 0.8952
Se11 0.1874 0.6343 0.3952
Se12 0.6874 0.8657 0.6048
Se13 0.4226 0.0819 0.0747
Se14 0.9226 0.4181 0.9253
Se15 0.5774 0.5819 0.4253
Se16 0.0774 0.9181 0.5747
```

Computed properties:
ΔE to the lowest computed polymorph, meV/atom: 0.0
Symmetry: P2_12_12_1 (19)
Electronic total energy, eV/atom: -3.35
Energy relative to the elements, uncorrected, eV per atom: -0.386


no.,total magnetization (μB/atom)
1,0.000
2,0.000
3,0.800
4,0.000
5,0.000
6,0.000